No. 1
A geometry-optimized CePm3Pu2S6 structure, computed with PBE-GGA.

The structure in POSCAR format:
```
CePm3Pu2S6
1.0
-4.650 -0.555 -5.110
-1.466 -2.479 6.304
-0.513 6.815 1.292
Ce Pm Pu S
1 3 2 6
Cartesian
0.000 0.000 0.000
-2.252 1.248 5.052
-4.377 2.532 -2.566
-3.315 1.890 1.243
-2.527 -1.839 2.502
-3.590 -1.196 -1.308
-5.510 3.195 -0.050
-4.681 -0.593 1.205
-1.119 0.586 2.536
-4.438 2.547 3.793
-1.949 4.373 1.281
-2.191 1.234 -1.307
```

total moment = 11.9 Bohr magnetons per cell
space group = C2/m, No. 12
ΔE_f (raw) = -1963.3 meV/atom
N(E_F) = 1.70 states/eV/atom



No. 2
A geometry-optimized NiPb3Au structure, computed with PBE-GGA.

The structure in POSCAR format:
```
NiPb3Au
1.0
5.503 0.000 0.000
0.000 5.503 0.000
0.000 0.000 5.503
Pb Ni Au
3 1 1
Cartesian
0.000 2.751 0.000
0.000 0.000 2.751
2.751 0.000 0.000
2.751 2.751 2.751
0.000 0.000 0.000
```

total moment = 0.0 Bohr magnetons per cell
space group = Pm-3m, No. 221
N(E_F) = 0.80 states/eV/atom
ΔE to the lowest computed polymorph = 651.2 meV/atom
ΔH_f (0 K) = 0.84 eV/atom



No. 3
A geometry-optimized HgAu2I structure, computed with PBE-GGA.

The structure in POSCAR format:
```
HgAu2I
1.0
-3.220 6.759 1.452
-3.314 -0.104 -6.868
-6.220 1.609 -1.257
I Au Hg
2 4 2
Cartesian
-3.267 3.328 -2.708
-6.401 2.416 -5.416
-4.012 4.676 -0.252
-3.999 1.120 -4.439
-7.085 3.704 -2.910
-10.413 7.029 -5.746
0.000 0.000 0.000
-6.354 5.848 -1.257
```

total moment = 0.0 Bohr magnetons per cell
space group = I-42d, No. 122
ΔE_f (raw) = 279.1 meV/atom
N(E_F) = 0.30 states/eV/atom
ΔE to the lowest computed polymorph = 0.0 meV/atom



No. 4
A geometry-optimized RbCdOsO6 structure, computed with PBE-GGA.

The structure in POSCAR format:
```
RbCdOsO6
1.0
-5.699 1.006 0.241
-3.638 -4.055 2.161
0.646 2.293 5.300
Rb Cd Os O
1 1 1 6
Cartesian
-3.074 -1.699 7.442
-5.889 -0.896 4.253
-2.872 0.195 3.432
-1.450 -0.797 2.560
-1.869 1.734 3.763
-4.090 0.699 4.675
-1.871 -0.708 4.829
-4.030 -1.223 3.068
-3.275 0.958 1.839
```

total moment = 1.1 Bohr magnetons per cell
space group = C2, No. 5
ΔE_f (raw) = -931.7 meV/atom
N(E_F) = 0.01 states/eV/atom



No. 5
A geometry-optimized PuAl2Sb structure, computed with PBE-GGA.

The structure in POSCAR format:
```
PuAl2Sb
1.0
4.454 0.000 0.000
0.000 4.374 0.000
0.000 0.000 4.374
Sb Al Pu
1 2 1
Cartesian
2.227 0.000 0.000
0.000 0.000 2.187
0.000 2.187 0.000
2.227 2.187 2.187
```

total moment = 5.4 Bohr magnetons per cell
space group = P4/mmm, No. 123
ΔE_f (raw) = -333.9 meV/atom
N(E_F) = 2.15 states/eV/atom



No. 6
A geometry-optimized Tl2Hg7Pb2 structure, computed with PBE-GGA.

The structure in POSCAR format:
```
Tl2Hg7Pb2
1.0
5.594 -0.671 1.424
1.755 7.257 0.948
-0.774 0.040 7.486
Tl Hg Pb
2 7 2
Cartesian
4.063 5.524 2.926
2.513 1.102 6.932
1.527 4.243 8.024
4.150 -0.180 4.157
5.048 2.384 1.834
2.426 6.807 5.702
0.000 0.000 0.000
1.848 3.839 4.952
4.728 2.788 4.906
1.855 1.749 2.648
4.720 4.878 7.210
```

total moment = 0.0 Bohr magnetons per cell
space group = C2/m, No. 12
N(E_F) = 0.42 states/eV/atom
ΔE to the lowest computed polymorph = 8.7 meV/atom
ΔH_f (0 K) = 0.04 eV/atom



No. 7
A geometry-optimized Sm2Tm3Al4 structure, computed with PBE-GGA.

The structure in POSCAR format:
```
Sm2Tm3Al4
1.0
-0.128 -5.098 -3.610
7.048 -1.888 2.416
-3.769 -2.486 9.052
Sm Tm Al
4 6 8
Cartesian
3.566 -2.034 2.745
-0.415 -7.439 5.113
-2.428 -4.333 6.206
5.579 -5.139 1.652
0.000 0.000 0.000
3.460 -3.493 -0.597
3.327 -5.222 4.553
-0.241 -6.800 1.501
-0.177 -4.251 3.306
3.391 -2.673 6.358
2.077 -6.864 6.917
1.010 -5.158 -0.863
1.074 -2.608 0.942
2.141 -4.315 8.722
5.825 -3.412 4.611
-2.674 -6.061 3.247
0.808 -4.427 6.224
2.342 -5.045 1.634
```

total moment = 0.0 Bohr magnetons per cell
space group = Cmce, No. 64
N(E_F) = 1.06 states/eV/atom
ΔH_f (0 K) = -0.21 eV/atom



No. 8
A geometry-optimized Zn2CrCu structure, computed with PBE-GGA.

The structure in POSCAR format:
```
Zn2CrCu
1.0
-0.680 2.116 -1.960
-2.304 -1.937 -1.292
-3.891 2.168 3.690
Cr Cu Zn
1 1 2
Cartesian
-1.974 1.099 1.871
-4.420 1.721 1.150
-3.841 2.140 3.642
-2.478 0.639 -0.691
```

total moment = 3.5 Bohr magnetons per cell
space group = Pmm2, No. 25
N(E_F) = 0.42 states/eV/atom
ΔH_f (0 K) = 0.17 eV/atom